Entry 1:
{"formula": "Sr2DySi3Pt4", "functional": "PBE", "state": "relaxed", "e_form_raw_mev_per_atom": -944, "magnetic_moment_mub_per_fu": 0.000, "lattice": [[4.366, 0.000, 0.000], [0.000, 4.366, 0.000], [0.000, 0.000, 10.700]], "species": ["Sr", "Sr", "Dy", "Pt", "Pt", "Pt", "Pt", "Si", "Si", "Si"], "frac_coords": [[0.000, 0.500, 0.767], [0.500, 0.000, 0.233], [0.500, 0.500, 0.500], [0.500, 0.500, 0.000], [0.500, 0.000, 0.660], [0.000, 0.500, 0.340], [0.000, 0.000, 0.000], [0.000, 0.500, 0.114], [0.500, 0.000, 0.886], [0.000, 0.000, 0.500]]}



Entry 2:
{"formula": "Ac6Ir2N", "functional": "PBE", "state": "relaxed", "e_form_raw_mev_per_atom": -604, "magnetic_moment_mub_per_fu": 0.000, "lattice": [[-3.428, 5.845, 1.573], [-2.319, -3.157, 6.677], [8.399, 4.218, 4.911]], "species": ["Ir", "Ir", "Ir", "Ir", "N", "N", "Ac", "Ac", "Ac", "Ac", "Ac", "Ac", "Ac", "Ac", "Ac", "Ac", "Ac", "Ac"], "frac_coords": [[0.053, 0.612, 0.768], [0.553, 0.888, 0.268], [0.447, 0.112, 0.732], [0.947, 0.388, 0.232], [0.500, 0.500, 0.000], [0.000, 0.000, 0.500], [0.309, 0.830, 0.562], [0.645, 0.456, 0.763], [0.145, 0.044, 0.263], [0.671, 0.185, 0.074], [0.355, 0.544, 0.237], [0.329, 0.815, 0.926], [0.171, 0.315, 0.574], [0.691, 0.170, 0.438], [0.809, 0.670, 0.062], [0.855, 0.956, 0.737], [0.191, 0.330, 0.938], [0.829, 0.685, 0.426]]}



Entry 3:
{"formula": "SbIrRh2", "functional": "PBE", "state": "relaxed", "e_form_raw_mev_per_atom": 36, "magnetic_moment_mub_per_fu": 0.000, "lattice": [[-1.403, -0.363, -3.582], [2.413, -1.422, -0.801], [-2.431, -4.934, 1.453]], "species": ["Sb", "Rh", "Rh", "Ir"], "frac_coords": [[0.500, 0.500, 0.000], [0.000, 0.001, 0.734], [0.000, 0.999, 0.266], [0.500, 0.500, 0.500]]}



Entry 4:
{"formula": "CsZnSCl2", "functional": "PBE", "state": "relaxed", "de_polymorph_kcal_per_mol_atoms": 0.000, "e_form_raw_mev_per_atom": -919, "magnetic_moment_mub_per_fu": 1.007, "lattice": [[-1.666, 4.795, 1.633], [-3.032, 0.433, -4.365], [-3.593, -2.030, 2.295]], "species": ["S", "Cl", "Cl", "Cs", "Zn"], "frac_coords": [[0.000, 0.000, 0.500], [0.000, 0.500, 0.000], [0.500, 0.000, 0.000], [0.500, 0.500, 0.500], [0.000, 0.000, 0.000]]}